Li5TbSe4 after structural relaxation. Source: the Alexandria database, functional PBE.

abc: 4.1007 7.4864 8.2179
angles: 117.10 104.45 90.00
Element x y z (fractional)
Se: 0.7108 0.2108 0.4216
Se: 0.0000 0.7339 0.0000
Se: 0.2892 0.7892 0.5784
Se: 0.0000 0.2661 0.0000
Li: 0.8212 0.0294 0.6423
Li: 0.1788 0.9706 0.3577
Li: 0.5000 0.5000 0.0000
Li: 0.8212 0.6129 0.6423
Li: 0.1788 0.3871 0.3577
Tb: 0.5000 0.0000 0.0000

Summary:
**Mass density**: 3.92 g cm⁻³
**E**: -42.146 eV per cell
**V**: 21.56 Å³ per atom
**Formation energy (no corrections)**: -1.40 eV per atom
**Symmetry**: Immm